(1)
Crystalline CoSbTe4 at its relaxed geometry, computed with PBE.

Volume   175 Å³/cell
Crystal system   cubic
Energy relative to the elements, uncorrected   0.94 eV per atom
DFT total energy   -3.026 eV/atom

a b c (Å): 6.2793 6.2793 6.2793
angles (deg): 60.00 60.00 60.00
Closest atoms and distances in Å follow each position.
Fractional positions:
Co 0.0000 0.0000 0.0000  12 Te 3.68, 4 Sb 3.85
Sb 0.7500 0.7500 0.7500  12 Te 3.68, 4 Co 3.85
Te 0.3745 0.3745 0.3745  6 Te 3.13-3.15
Te 0.3745 0.3745 0.8764  6 Te 3.13-3.15
Te 0.3745 0.8764 0.3745  6 Te 3.13-3.15
Te 0.8764 0.3745 0.3745  6 Te 3.13-3.15

---

(2)
Crystalline CoSb2Te at its relaxed geometry, computed with PBE.

Volume   95 Å³/cell
Crystal system   orthorhombic
Energy relative to the elements, uncorrected   0.03 eV per atom
DFT total energy   -4.590 eV/atom

a b c (Å): 3.8321 5.4124 5.4124
angles (deg): 57.38 90.00 90.00
Closest atoms and distances in Å follow each position.
Fractional positions:
Co 0.0000 0.0000 0.0000  4 Sb 2.55-2.60, 2 Te 2.55
Sb 0.0000 0.4966 0.4966  2 Co 2.60
Sb 0.5000 0.1765 0.1765  2 Co 2.55
Te 0.5000 0.8229 0.8229  2 Co 2.55

---

(3)
Crystalline CoSbTe at its relaxed geometry, computed with PBE.

Volume   127 Å³/cell
Crystal system   monoclinic
Energy relative to the elements, uncorrected   -0.20 eV per atom
DFT total energy   -4.989 eV/atom

a b c (Å): 5.3204 3.8155 6.2674
angles (deg): 90.00 91.21 90.00
Closest atoms and distances in Å follow each position.
Fractional positions:
Co 0.0000 0.0000 0.0000  4 Te 2.56, 2 Sb 2.57
Co 0.5000 0.5000 0.5000  2 Te 2.51, 4 Sb 2.59
Sb 0.2187 0.0000 0.6381  3 Co 2.57-2.59, 1 Sb 2.87
Sb 0.7813 0.0000 0.3619  3 Co 2.57-2.59, 1 Sb 2.87
Te 0.2751 0.5000 0.1435  3 Co 2.51-2.56
Te 0.7249 0.5000 0.8565  3 Co 2.51-2.56

---

(4)
Crystalline Co2SbTe at its relaxed geometry, computed with PBE.

Volume   76 Å³/cell
Crystal system   monoclinic
Energy relative to the elements, uncorrected   0.13 eV per atom
DFT total energy   -5.236 eV/atom

a b c (Å): 4.3813 4.2715 4.4070
angles (deg): 90.00 112.70 90.00
Closest atoms and distances in Å follow each position.
Fractional positions:
Co 0.0000 0.0000 0.0000  2 Co 2.41, 2 Te 2.63, 3 Sb 2.63-2.65
Co 0.1471 0.5000 0.8439  2 Co 2.41, 2 Sb 2.63, 3 Te 2.64-2.65
Sb 0.3608 0.0000 0.6361  5 Co 2.63-2.65
Te 0.7871 0.5000 0.2071  5 Co 2.63-2.65

---

(5)
Crystalline CoSb2Te at its relaxed geometry, computed with PBE.

Volume   96 Å³/cell
Crystal system   monoclinic
Energy relative to the elements, uncorrected   0.07 eV per atom
DFT total energy   -4.557 eV/atom

a b c (Å): 3.6552 3.6552 8.5228
angles (deg): 101.21 101.21 59.61
Closest atoms and distances in Å follow each position.
Fractional positions:
Co 0.0000 0.0000 0.0000  3 Te 2.50, 3 Sb 2.60-2.61
Sb 0.2772 0.2772 0.8159  3 Co 2.60-2.61
Sb 0.5189 0.5189 0.5232  3 Sb 3.21-3.22, 1 Te 3.58
Te 0.7163 0.7163 0.1615  3 Co 2.50

---

(6)
Crystalline CoSb2Te at its relaxed geometry, computed with PBE.

Volume   94 Å³/cell
Crystal system   tetragonal
Energy relative to the elements, uncorrected   0.20 eV per atom
DFT total energy   -4.424 eV/atom

a b c (Å): 3.1663 3.1663 9.3327
angles (deg): 90.00 90.00 90.00
Closest atoms and distances in Å follow each position.
Fractional positions:
Co 0.0000 0.0000 0.0000  4 Te 2.67, 4 Sb 2.84
Sb 0.0000 0.0000 0.4903  4 Sb 3.17
Sb 0.5000 0.5000 0.1864  4 Co 2.84, 4 Sb 3.17
Te 0.5000 0.5000 0.8443  4 Co 2.67